Record 1
# Hf2HAuI

Crystalline Hf2HAuI at its relaxed geometry (PBE, Alexandria via LeMat-Bulk).

a b c (Å): 5.2543 5.2543 5.2354
angles (deg): 90.00 90.00 90.00
Sites, in units of the cell vectors:
Hf 0.0000 0.5000 0.0000
Hf 0.5000 0.0000 0.0000
H 0.0000 0.0000 0.5000
Au 0.5000 0.5000 0.5000
I 0.5000 0.5000 0.0000

E = -3.78 eV per atom


Record 2
# Na5Ga2Au4

Crystalline Na5Ga2Au4 at its relaxed geometry (PBE, Alexandria via LeMat-Bulk).

a b c (Å): 10.4023 10.4023 10.4023
angles (deg): 163.78 126.56 56.24
Sites, in units of the cell vectors:
Na 0.0000 0.0000 0.0000
Na 0.0753 0.3445 0.7308
Na 0.3863 0.6555 0.7308
Na 0.6137 0.3445 0.2692
Na 0.9247 0.6555 0.2692
Ga 0.2723 0.7723 0.5000
Ga 0.7277 0.2277 0.5000
Au 0.2798 0.5000 0.7798
Au 0.4127 0.9127 0.5000
Au 0.5873 0.0873 0.5000
Au 0.7202 0.5000 0.2202

Formation enthalpy at 0 K = -0.129 eV per atom


Record 3
# SmTiFe11N

Crystalline SmTiFe11N at its relaxed geometry (PBE, Alexandria via LeMat-Bulk).

a b c (Å): 6.5312 6.5312 6.5312
angles (deg): 136.32 97.54 98.37
Sites, in units of the cell vectors:
Sm 0.0000 0.0000 0.0000
Ti 0.6266 0.6266 0.0000
Fe 0.2124 0.4902 0.7222
Fe 0.2201 0.7201 0.5000
Fe 0.3514 0.3514 0.0000
Fe 0.3529 0.9932 0.3597
Fe 0.4918 0.4931 0.4978
Fe 0.4918 0.9940 0.9987
Fe 0.6335 0.9932 0.6403
Fe 0.7680 0.4902 0.2778
Fe 0.7695 0.2695 0.5000
Fe 0.9953 0.4931 0.0013
Fe 0.9953 0.9940 0.5022
N 0.9944 0.4944 0.5000

Formation energy from raw total energies = -0.154 eV per atom


Record 4
# TlCr5S8

Crystalline TlCr5S8 at its relaxed geometry (PBE, Alexandria via LeMat-Bulk).

a b c (Å): 9.1866 9.1866 8.7140
angles (deg): 105.35 105.35 21.89
Sites, in units of the cell vectors:
Tl 0.0000 0.0000 0.0000
Cr 0.1581 0.1581 0.4714
Cr 0.2041 0.2041 0.8339
Cr 0.5000 0.5000 0.5000
Cr 0.7959 0.7959 0.1661
Cr 0.8419 0.8419 0.5286
S 0.0774 0.0774 0.6470
S 0.2621 0.2621 0.3447
S 0.3283 0.3283 0.0142
S 0.4162 0.4162 0.6734
S 0.5838 0.5838 0.3266
S 0.6717 0.6717 0.9858
S 0.7379 0.7379 0.6553
S 0.9226 0.9226 0.3530

Formation energy from raw total energies = -0.685 eV per atom


Record 5
# LaZnBr2

Crystalline LaZnBr2 at its relaxed geometry (PBE, Alexandria via LeMat-Bulk).

a b c (Å): 3.7150 3.7286 9.6335
angles (deg): 90.00 90.05 90.00
Sites, in units of the cell vectors:
La 0.0000 0.0000 0.0000
Zn 0.0000 0.0000 0.5000
Br 0.4995 0.5000 0.8189
Br 0.5005 0.5000 0.1811

Energy relative to the lowest polymorph listed for this composition = 0.0 meV per atom
Formation energy from raw total energies = -1.098 eV per atom


Record 6
# PrScH

Crystalline PrScH at its relaxed geometry (PBE, Alexandria via LeMat-Bulk).

a b c (Å): 6.3012 6.3012 6.3012
angles (deg): 148.81 148.81 44.69
Sites, in units of the cell vectors:
Pr 0.0000 0.0000 0.0000
Sc 0.2921 0.2921 0.0000
H 0.4681 0.4681 0.0000

Energy relative to the lowest polymorph listed for this composition = 161.4 meV per atom


| no. | N(E_F) (states/eV per cell) |
| --- | --- |
| 1 | 6.187 |
| 2 | 3.741 |
| 3 | 9.705 |
| 4 | 0.089 |
| 5 | 1.943 |
| 6 | 3.269 |